1.
The following is a DFT calculation (GGA-PBE) of CaMn3Si after structural relaxation.

Output
The space group is No. 221. The uncorrected formation energy comes out at 938 kJ/mol of formula units. For the density, the calculation gives 3593 kg/m³. For the magnetic moment, the calculation gives 10.82 μB per cell. The offset from the most stable computed form is 7.813 eV per formula unit.

Lattice parameters (Å, degrees): 4.757 4.757 4.757 90.00 90.00 90.00
Site moments in Bohr magnetons follow the coordinates.
Sites, in units of the cell vectors:
Ca1 0.000 0.000 0.000  -0.16
Mn1 0.000 0.500 0.000  3.57
Mn2 0.000 0.000 0.500  3.20
Mn3 0.500 0.000 0.000  3.91
Si1 0.500 0.500 0.500  -0.05



2.
The following is a DFT calculation (GGA-PBE) of LaAgAsBr2 after structural relaxation.

Output
The space group is No. 123. The uncorrected formation energy comes out at -222 kJ/mol of formula units. For the density, the calculation gives 5647 kg/m³. For the magnetic moment, the calculation gives 0.00 μB per cell. The offset from the most stable computed form is 0.000 eV per formula unit.

Lattice parameters (Å, degrees): 5.149 5.341 5.149 90.00 90.00 90.00
Sites, in units of the cell vectors:
As1 0.000 0.500 0.000
Br1 0.000 0.000 0.500
Br2 0.500 0.000 0.000
Ag1 0.000 0.000 0.000
La1 0.500 0.500 0.500



3.
The following is a DFT calculation (GGA-PBE) of Cs2RbNiB after structural relaxation.

Output
The space group is No. 123. For the formation energy, the calculation gives 672 meV per atom. For the density, the calculation gives 3455 kg/m³. For the magnetic moment, the calculation gives 0.00 μB per cell.

Lattice parameters (Å, degrees): 7.107 4.004 7.107 90.00 90.00 90.00
Sites, in units of the cell vectors:
Cs1 0.000 0.000 0.500
Cs2 0.500 0.000 0.000
Ni1 0.000 0.500 0.000
B1 0.000 0.000 0.000
Rb1 0.500 0.500 0.500



4.
The following is a DFT calculation (GGA-PBE) of NpUPd4 after structural relaxation.

Output
The space group is No. 216. For the formation energy, the calculation gives -331 meV per atom. For the density, the calculation gives 13287 kg/m³. For the magnetic moment, the calculation gives 7.13 μB per cell.

Lattice parameters (Å, degrees): 5.420 5.420 5.420 60.00 60.00 60.00
Site moments in Bohr magnetons follow the coordinates.
Sites, in units of the cell vectors:
Np1 0.250 0.250 0.250  4.05
U1 0.000 0.000 0.000  2.60
Pd1 0.625 0.625 0.125  -0.04
Pd2 0.625 0.125 0.625  -0.04
Pd3 0.625 0.625 0.625  -0.04
Pd4 0.125 0.625 0.625  -0.04



5.
The following is a DFT calculation (GGA-PBE) of KCdPRh after structural relaxation.

Output
The space group is No. 129. For the formation energy, the calculation gives -474 meV per atom. For the density, the calculation gives 4641 kg/m³. For the magnetic moment, the calculation gives 0.00 μB per cell.

Lattice parameters (Å, degrees): 4.009 4.009 12.709 90.00 90.00 90.00
Sites, in units of the cell vectors:
K1 0.750 0.750 0.243
K2 0.250 0.250 0.757
Cd1 0.250 0.750 0.500
Cd2 0.750 0.250 0.500
P1 0.750 0.750 0.902
P2 0.250 0.250 0.098
Rh1 0.750 0.250 0.000
Rh2 0.250 0.750 0.000



6.
The following is a DFT calculation (GGA-PBE) of LiLaSN2 after structural relaxation.

Output
The space group is No. 123. The uncorrected formation energy comes out at 91 kJ/mol of formula units. For the density, the calculation gives 4883 kg/m³. For the magnetic moment, the calculation gives 0.01 μB per cell. The offset from the most stable computed form is 0.000 eV per formula unit.

Lattice parameters (Å, degrees): 4.076 4.076 4.216 90.00 90.00 90.00
Sites, in units of the cell vectors:
S1 0.000 0.000 0.500
N1 0.000 0.500 0.000
N2 0.500 0.000 0.000
Li1 0.000 0.000 0.000
La1 0.500 0.500 0.500



7.
The following is a DFT calculation (GGA-PBE) of BeHg2As after structural relaxation.

Output
The space group is No. 216. For the formation energy, the calculation gives 643 meV per atom. For the density, the calculation gives 9938 kg/m³. For the magnetic moment, the calculation gives 0.00 μB per cell. The offset from the most stable computed form is 2.334 eV per formula unit.

Lattice parameters (Å, degrees): 4.858 4.858 4.858 60.00 60.00 60.00
Sites, in units of the cell vectors:
Be1 0.750 0.750 0.750
As1 0.500 0.500 0.500
Hg1 0.000 0.000 0.000
Hg2 0.250 0.250 0.250



8.
The following is a DFT calculation (GGA-PBE) of AcPaS3 after structural relaxation.

Output
The space group is No. 62. The uncorrected formation energy comes out at -896 kJ/mol of formula units. For the density, the calculation gives 7426 kg/m³. For the magnetic moment, the calculation gives 6.34 μB per cell. The offset from the most stable computed form is 0.000 eV per formula unit.

Lattice parameters (Å, degrees): 4.110 7.476 16.131 90.00 90.00 90.00
Site moments in Bohr magnetons follow the coordinates.
Sites, in units of the cell vectors:
Ac1 0.750 0.873 0.804  0.05
Ac2 0.250 0.127 0.196  0.05
Ac3 0.750 0.373 0.696  0.05
Ac4 0.250 0.627 0.304  0.05
Pa1 0.250 0.264 0.958  1.22
Pa2 0.250 0.764 0.542  1.22
Pa3 0.750 0.236 0.458  1.22
Pa4 0.750 0.736 0.042  1.22
S1 0.250 0.373 0.559  -0.03
S2 0.750 0.832 0.211  -0.01
S3 0.750 0.492 0.903  -0.04
S4 0.750 0.992 0.597  -0.04
S5 0.750 0.627 0.441  -0.03
S6 0.250 0.008 0.403  -0.04
S7 0.250 0.873 0.941  -0.03
S8 0.750 0.332 0.289  -0.01
S9 0.250 0.668 0.711  -0.01
S10 0.250 0.168 0.789  -0.01
S11 0.750 0.127 0.059  -0.03
S12 0.250 0.508 0.097  -0.04



9.
The following is a DFT calculation (GGA-PBE) of LiCdIrPb2 after structural relaxation.

Output
The space group is No. 123. For the formation energy, the calculation gives 135 meV per atom. For the density, the calculation gives 8841 kg/m³. For the magnetic moment, the calculation gives 0.00 μB per cell.

Lattice parameters (Å, degrees): 5.248 4.951 5.248 90.00 90.00 90.00
Sites, in units of the cell vectors:
Pb1 0.000 0.000 0.500
Pb2 0.500 0.000 0.000
Ir1 0.000 0.000 0.000
Li1 0.000 0.500 0.000
Cd1 0.500 0.500 0.500



10.
The following is a DFT calculation (GGA-PBE) of Ho3ErSb3 after structural relaxation.

Output
The space group is No. 198. The uncorrected formation energy comes out at -652 kJ/mol of formula units. For the density, the calculation gives 8932 kg/m³. For the magnetic moment, the calculation gives 0.00 μB per cell. The offset from the most stable computed form is 0.000 eV per formula unit.

Lattice parameters (Å, degrees): 9.141 9.141 9.141 90.00 90.00 90.00
Sites, in units of the cell vectors:
Ho1 0.823 0.323 0.177
Ho2 0.928 0.928 0.928
Ho3 0.822 0.678 0.322
Ho4 0.177 0.823 0.323
Ho5 0.178 0.178 0.178
Ho6 0.322 0.822 0.678
Ho7 0.072 0.428 0.572
Ho8 0.323 0.177 0.823
Ho9 0.678 0.322 0.822
Ho10 0.677 0.677 0.677
Ho11 0.572 0.072 0.428
Ho12 0.428 0.572 0.072
Er1 0.073 0.573 0.927
Er2 0.927 0.073 0.573
Er3 0.427 0.427 0.427
Er4 0.573 0.927 0.073
Sb1 0.751 0.625 0.000
Sb2 0.875 0.000 0.251
Sb3 0.000 0.751 0.625
Sb4 0.125 0.500 0.249
Sb5 0.249 0.125 0.500
Sb6 0.251 0.875 0.000
Sb7 0.000 0.251 0.875
Sb8 0.375 0.500 0.749
Sb9 0.500 0.249 0.125
Sb10 0.625 0.000 0.751
Sb11 0.749 0.375 0.500
Sb12 0.500 0.749 0.375



11.
The following is a DFT calculation (GGA-PBE) of Cr2PbCl after structural relaxation.

Output
The space group is No. 216. The uncorrected formation energy comes out at 319 kJ/mol of formula units. For the density, the calculation gives 6278 kg/m³. For the magnetic moment, the calculation gives 8.91 μB per cell. The offset from the most stable computed form is 3.042 eV per formula unit.

Lattice parameters (Å, degrees): 5.061 5.061 5.061 60.00 60.00 60.00
Site moments in Bohr magnetons follow the coordinates.
Sites, in units of the cell vectors:
Pb1 0.250 0.250 0.250  -0.09
Cr1 0.000 0.000 0.000  3.92
Cr2 0.750 0.750 0.750  3.99
Cl1 0.500 0.500 0.500  0.08



12.
The following is a DFT calculation (GGA-PBE) of CeSmIr after structural relaxation.

Output
The space group is No. 107. For the formation energy, the calculation gives -437 meV per atom. For the density, the calculation gives 11196 kg/m³. For the magnetic moment, the calculation gives 0.00 μB per cell. The offset from the most stable computed form is 0.382 eV per formula unit.

Lattice parameters (Å, degrees): 3.624 3.624 6.023 107.51 107.51 90.00
Sites, in units of the cell vectors:
Ir1 0.651 0.651 0.302
Ce1 0.027 0.027 0.054
Sm1 0.322 0.322 0.644